Record 1
! BaCa2RhO5 | the Alexandria database | PBE-GGA | relaxed; values from VASP
&SYSTEM
  ibrav = 0, nat = 9, ntyp = 4
/
ATOMIC_SPECIES
Ba 137.33 Ba.upf
Ca 40.08 Ca.upf
Rh 102.91 Rh.upf
O 16.00 O.upf
ATOMIC_POSITIONS crystal
Ba 0.000 0.000 0.000
Ca 0.287 0.787 0.500
Ca 0.713 0.213 0.500
Rh 0.500 0.500 0.000
O 0.129 0.364 0.765
O 0.400 0.636 0.765
O 0.500 0.000 0.500
O 0.600 0.364 0.235
O 0.871 0.636 0.235
CELL_PARAMETERS angstrom
-1.922 2.938 5.689
1.922 -2.938 5.689
1.922 2.938 -5.689
! - VASP energy (eV per cell) = -57.65
! - energy relative to the elements, uncorrected (eV per atom) = -2.176
! - symmetry = Immm
! - DOS at the Fermi energy (states/eV/f.u.) = 6.183
! - total magnetization (μB/atom) = 0.025

Record 2
! Ba3CaRh2O9 | the Alexandria database | PBE-GGA | relaxed; values from VASP
&SYSTEM
  ibrav = 0, nat = 15, ntyp = 4
/
ATOMIC_SPECIES
Ba 137.33 Ba.upf
Ca 40.08 Ca.upf
Rh 102.91 Rh.upf
O 16.00 O.upf
ATOMIC_POSITIONS crystal
Ba 0.000 0.000 0.000
Ba 0.333 0.667 0.670
Ba 0.667 0.333 0.330
Ca 0.000 0.000 0.500
Rh 0.333 0.667 0.161
Rh 0.667 0.333 0.839
O 0.000 0.500 0.000
O 0.178 0.356 0.315
O 0.178 0.822 0.315
O 0.356 0.178 0.685
O 0.500 0.000 0.000
O 0.500 0.500 0.000
O 0.644 0.822 0.315
O 0.822 0.178 0.685
O 0.822 0.644 0.685
CELL_PARAMETERS angstrom
5.885 0.000 0.000
-2.943 5.097 0.000
0.000 0.000 7.260
! - VASP energy (eV per cell) = -95.00
! - energy relative to the elements, uncorrected (eV per atom) = -1.860
! - symmetry = P-3m1
! - DOS at the Fermi energy (states/eV/f.u.) = 4.169
! - total magnetization (μB/atom) = 0.274

Record 3
! Ba4CaRh4O12 | the Alexandria database | PBE-GGA | relaxed; values from VASP
&SYSTEM
  ibrav = 0, nat = 21, ntyp = 4
/
ATOMIC_SPECIES
Ba 137.33 Ba.upf
Ca 40.08 Ca.upf
Rh 102.91 Rh.upf
O 16.00 O.upf
ATOMIC_POSITIONS crystal
Ba 0.000 0.000 0.000
Ba 0.000 0.000 0.386
Ba 0.333 0.667 0.182
Ba 0.667 0.333 0.630
Ca 0.000 0.000 0.729
Rh 0.333 0.667 0.506
Rh 0.333 0.667 0.782
Rh 0.667 0.333 0.010
Rh 0.667 0.333 0.283
O 0.006 0.503 0.390
O 0.184 0.368 0.631
O 0.184 0.816 0.631
O 0.371 0.185 0.153
O 0.497 0.503 0.390
O 0.497 0.994 0.390
O 0.512 0.024 0.869
O 0.512 0.488 0.869
O 0.632 0.816 0.631
O 0.815 0.185 0.153
O 0.815 0.629 0.153
O 0.976 0.488 0.869
CELL_PARAMETERS angstrom
5.820 0.000 0.000
-2.910 5.040 0.000
0.000 0.000 10.512
! - VASP energy (eV per cell) = -131.41
! - energy relative to the elements, uncorrected (eV per atom) = -1.563
! - symmetry = P3m1
! - excess energy over the best structure of this formula in the dataset (meV per atom) = 81
! - DOS at the Fermi energy (states/eV/f.u.) = 16.368
! - total magnetization (μB/atom) = 0.088

Record 4
! Ba3CaRh2O8 | the Alexandria database | PBE-GGA | relaxed; values from VASP
&SYSTEM
  ibrav = 0, nat = 14, ntyp = 4
/
ATOMIC_SPECIES
Ba 137.33 Ba.upf
Ca 40.08 Ca.upf
Rh 102.91 Rh.upf
O 16.00 O.upf
ATOMIC_POSITIONS crystal
Ba 0.000 0.000 0.000
Ba 0.333 0.667 0.629
Ba 0.667 0.333 0.371
Ca 0.000 0.000 0.500
Rh 0.333 0.667 0.187
Rh 0.667 0.333 0.813
O 0.176 0.353 0.325
O 0.176 0.824 0.325
O 0.333 0.667 0.954
O 0.353 0.176 0.675
O 0.647 0.824 0.325
O 0.667 0.333 0.046
O 0.824 0.176 0.675
O 0.824 0.647 0.675
CELL_PARAMETERS angstrom
5.911 0.000 0.000
-2.955 5.119 0.000
0.000 0.000 7.947
! - VASP energy (eV per cell) = -86.09
! - energy relative to the elements, uncorrected (eV per atom) = -1.711
! - symmetry = P-3m1
! - DOS at the Fermi energy (states/eV/f.u.) = 3.170
! - total magnetization (μB/atom) = 0.141

Record 5
! Ba4CaRh4O12 | the Alexandria database | PBE-GGA | relaxed; values from VASP
&SYSTEM
  ibrav = 0, nat = 21, ntyp = 4
/
ATOMIC_SPECIES
Ba 137.33 Ba.upf
Ca 40.08 Ca.upf
Rh 102.91 Rh.upf
O 16.00 O.upf
ATOMIC_POSITIONS crystal
Ba 0.000 0.000 0.000
Ba 0.301 0.301 0.843
Ba 0.564 0.564 0.347
Ba 0.918 0.918 0.610
Ca 0.859 0.859 0.242
Rh 0.232 0.232 0.483
Rh 0.254 0.254 0.213
Rh 0.602 0.602 0.689
Rh 0.658 0.658 0.961
O 0.010 0.510 0.078
O 0.078 0.539 0.372
O 0.085 0.085 0.290
O 0.333 0.796 0.825
O 0.378 0.882 0.561
O 0.392 0.392 0.627
O 0.510 0.010 0.078
O 0.517 0.517 0.062
O 0.539 0.078 0.372
O 0.781 0.781 0.814
O 0.796 0.333 0.825
O 0.882 0.378 0.561
CELL_PARAMETERS angstrom
5.221 -2.888 0.000
5.221 2.888 0.000
-2.094 0.000 10.268
! - VASP energy (eV per cell) = -133.10
! - energy relative to the elements, uncorrected (eV per atom) = -1.643
! - symmetry = Cm
! - excess energy over the best structure of this formula in the dataset (meV per atom) = 0
! - DOS at the Fermi energy (states/eV/f.u.) = 12.365
! - total magnetization (μB/atom) = 0.097

Record 6
! Ba4CaRh4O12 | the Alexandria database | PBE-GGA | relaxed; values from VASP
&SYSTEM
  ibrav = 0, nat = 21, ntyp = 4
/
ATOMIC_SPECIES
Ba 137.33 Ba.upf
Ca 40.08 Ca.upf
Rh 102.91 Rh.upf
O 16.00 O.upf
ATOMIC_POSITIONS crystal
Ba 0.000 0.000 0.000
Ba 0.195 0.195 0.394
Ba 0.281 0.281 0.806
Ba 0.569 0.569 0.586
Ca 0.748 0.748 0.174
Rh 0.472 0.472 0.221
Rh 0.639 0.639 0.912
Rh 0.872 0.872 0.439
Rh 0.924 0.924 0.694
O 0.049 0.049 0.566
O 0.060 0.601 0.568
O 0.134 0.652 0.302
O 0.270 0.764 0.806
O 0.508 0.986 0.007
O 0.523 0.523 0.054
O 0.601 0.060 0.568
O 0.652 0.134 0.302
O 0.666 0.666 0.360
O 0.760 0.760 0.780
O 0.764 0.270 0.806
O 0.986 0.508 0.007
CELL_PARAMETERS angstrom
5.119 -2.911 0.000
5.119 2.911 0.000
-1.751 0.000 10.788
! - VASP energy (eV per cell) = -132.21
! - energy relative to the elements, uncorrected (eV per atom) = -1.601
! - symmetry = Cm
! - excess energy over the best structure of this formula in the dataset (meV per atom) = 42
! - DOS at the Fermi energy (states/eV/f.u.) = 10.945
! - total magnetization (μB/atom) = 0.187

Record 7
! BaCa2RhO4 | the Alexandria database | PBE-GGA | relaxed; values from VASP
&SYSTEM
  ibrav = 0, nat = 16, ntyp = 4
/
ATOMIC_SPECIES
Ba 137.33 Ba.upf
Ca 40.08 Ca.upf
Rh 102.91 Rh.upf
O 16.00 O.upf
ATOMIC_POSITIONS crystal
Ba 0.118 0.882 0.750
Ba 0.882 0.118 0.250
Ca 0.371 0.629 0.543
Ca 0.371 0.629 0.957
Ca 0.629 0.371 0.043
Ca 0.629 0.371 0.457
Rh 0.146 0.854 0.250
Rh 0.854 0.146 0.750
O 0.000 0.000 0.000
O 0.000 0.000 0.500
O 0.261 0.739 0.114
O 0.261 0.739 0.386
O 0.444 0.556 0.750
O 0.556 0.444 0.250
O 0.739 0.261 0.614
O 0.739 0.261 0.886
CELL_PARAMETERS angstrom
1.761 -6.028 0.000
1.761 6.028 0.000
0.000 0.000 12.018
! - VASP energy (eV per cell) = -98.39
! - energy relative to the elements, uncorrected (eV per atom) = -2.011
! - symmetry = Cmcm
! - DOS at the Fermi energy (states/eV/f.u.) = 1.343
! - total magnetization (μB/atom) = 0.265

Record 8
! Ba3CaRh2O6 | the Alexandria database | PBE-GGA | relaxed; values from VASP
&SYSTEM
  ibrav = 0, nat = 12, ntyp = 4
/
ATOMIC_SPECIES
Ba 137.33 Ba.upf
Ca 40.08 Ca.upf
Rh 102.91 Rh.upf
O 16.00 O.upf
ATOMIC_POSITIONS crystal
Ba 0.000 0.000 0.000
Ba 0.333 0.667 0.653
Ba 0.667 0.333 0.347
Ca 0.000 0.000 0.500
Rh 0.333 0.667 0.174
Rh 0.667 0.333 0.826
O 0.169 0.338 0.299
O 0.169 0.831 0.299
O 0.338 0.169 0.701
O 0.662 0.831 0.299
O 0.831 0.169 0.701
O 0.831 0.662 0.701
CELL_PARAMETERS angstrom
6.174 0.000 0.000
-3.087 5.347 0.000
0.000 0.000 6.897
! - VASP energy (eV per cell) = -72.18
! - energy relative to the elements, uncorrected (eV per atom) = -1.663
! - symmetry = P-3m1
! - DOS at the Fermi energy (states/eV/f.u.) = 6.444
! - total magnetization (μB/atom) = 0.170

Record 9
! BaCa2RuO5 | the Alexandria database | PBE-GGA | relaxed; values from VASP
&SYSTEM
  ibrav = 0, nat = 9, ntyp = 4
/
ATOMIC_SPECIES
Ba 137.33 Ba.upf
Ca 40.08 Ca.upf
Ru 101.07 Ru.upf
O 16.00 O.upf
ATOMIC_POSITIONS crystal
Ba 0.000 0.000 0.000
Ca 0.286 0.786 0.500
Ca 0.714 0.214 0.500
Ru 0.500 0.500 0.000
O 0.129 0.365 0.764
O 0.399 0.635 0.764
O 0.500 0.000 0.500
O 0.601 0.365 0.236
O 0.871 0.635 0.236
CELL_PARAMETERS angstrom
-1.922 2.941 5.682
1.922 -2.941 5.682
1.922 2.941 -5.682
! - VASP energy (eV per cell) = -60.35
! - energy relative to the elements, uncorrected (eV per atom) = -2.262
! - symmetry = Immm
! - DOS at the Fermi energy (states/eV/f.u.) = 2.769
! - total magnetization (μB/atom) = 0.149

Record 10
! Ba3CaRu2O9 | the Alexandria database | PBE-GGA | relaxed; values from VASP
&SYSTEM
  ibrav = 0, nat = 15, ntyp = 4
/
ATOMIC_SPECIES
Ba 137.33 Ba.upf
Ca 40.08 Ca.upf
Ru 101.07 Ru.upf
O 16.00 O.upf
ATOMIC_POSITIONS crystal
Ba 0.000 0.000 0.000
Ba 0.333 0.667 0.676
Ba 0.667 0.333 0.324
Ca 0.000 0.000 0.500
Ru 0.333 0.667 0.165
Ru 0.667 0.333 0.835
O 0.000 0.500 0.000
O 0.178 0.357 0.314
O 0.178 0.822 0.314
O 0.357 0.178 0.686
O 0.500 0.000 0.000
O 0.500 0.500 0.000
O 0.643 0.822 0.314
O 0.822 0.178 0.686
O 0.822 0.643 0.686
CELL_PARAMETERS angstrom
5.895 0.000 0.000
-2.947 5.105 0.000
0.000 0.000 7.276
! - VASP energy (eV per cell) = -101.53
! - energy relative to the elements, uncorrected (eV per atom) = -2.039
! - symmetry = P-3m1
! - excess energy over the best structure of this formula in the dataset (meV per atom) = 16
! - DOS at the Fermi energy (states/eV/f.u.) = 7.746
! - total magnetization (μB/atom) = 0.370

Record 11
! Ba3CaRu2O9 | the Alexandria database | PBE-GGA | relaxed; values from VASP
&SYSTEM
  ibrav = 0, nat = 30, ntyp = 4
/
ATOMIC_SPECIES
Ba 137.33 Ba.upf
Ca 40.08 Ca.upf
Ru 101.07 Ru.upf
O 16.00 O.upf
ATOMIC_POSITIONS crystal
Ba 0.000 0.000 0.250
Ba 0.000 0.000 0.750
Ba 0.333 0.667 0.099
Ba 0.333 0.667 0.401
Ba 0.667 0.333 0.599
Ba 0.667 0.333 0.901
Ca 0.000 0.000 0.000
Ca 0.000 0.000 0.500
Ru 0.333 0.667 0.657
Ru 0.333 0.667 0.843
Ru 0.667 0.333 0.157
Ru 0.667 0.333 0.343
O 0.032 0.517 0.750
O 0.175 0.352 0.591
O 0.175 0.352 0.909
O 0.177 0.825 0.591
O 0.177 0.825 0.909
O 0.352 0.175 0.091
O 0.352 0.175 0.409
O 0.483 0.515 0.750
O 0.485 0.968 0.750
O 0.515 0.483 0.250
O 0.517 0.032 0.250
O 0.648 0.823 0.591
O 0.648 0.823 0.909
O 0.823 0.648 0.091
O 0.823 0.648 0.409
O 0.825 0.177 0.091
O 0.825 0.177 0.409
O 0.968 0.485 0.250
CELL_PARAMETERS angstrom
5.973 0.000 0.000
-2.987 5.173 0.000
0.000 0.000 14.916
! - VASP energy (eV per cell) = -203.54
! - energy relative to the elements, uncorrected (eV per atom) = -2.055
! - symmetry = P-62c
! - excess energy over the best structure of this formula in the dataset (meV per atom) = 0
! - DOS at the Fermi energy (states/eV/f.u.) = 1.336
! - total magnetization (μB/atom) = 0.404

Record 12
! BaCaRuO6 | the Alexandria database | PBE-GGA | relaxed; values from VASP
&SYSTEM
  ibrav = 0, nat = 9, ntyp = 4
/
ATOMIC_SPECIES
Ba 137.33 Ba.upf
Ca 40.08 Ca.upf
Ru 101.07 Ru.upf
O 16.00 O.upf
ATOMIC_POSITIONS crystal
Ba 0.000 0.000 0.000
Ca 0.333 0.667 0.500
Ru 0.667 0.333 0.500
O 0.402 0.055 0.697
O 0.402 0.348 0.303
O 0.652 0.055 0.303
O 0.652 0.598 0.697
O 0.945 0.348 0.697
O 0.945 0.598 0.303
CELL_PARAMETERS angstrom
5.668 0.000 0.000
-2.834 4.908 0.000
0.000 0.000 5.521
! - VASP energy (eV per cell) = -57.44
! - energy relative to the elements, uncorrected (eV per atom) = -1.611
! - symmetry = P312
! - total magnetization (μB/atom) = 0.000